Arrangement w

! Cd3SnHg2 GGA-PBE relaxed; values from VASP
! SG: P-1 (2)
! Total magnetic moment, μB/cell: 0.00
&SYSTEM
  ibrav = 0, nat = 12, ntyp = 3
/
ATOMIC_SPECIES
Cd 112.41 Cd.upf
Sn 118.71 Sn.upf
Hg 200.59 Hg.upf
CELL_PARAMETERS angstrom
5.889 0.000 0.000
1.740 5.864 0.000
2.697 1.402 8.748
ATOMIC_POSITIONS crystal
Cd 0.241 0.026 0.111
Cd 0.246 0.645 0.745
Cd 0.252 0.126 0.432
Cd 0.748 0.874 0.568
Cd 0.754 0.355 0.255
Cd 0.759 0.974 0.889
Sn 0.273 0.128 0.768
Sn 0.727 0.872 0.232
Hg 0.238 0.527 0.092
Hg 0.248 0.627 0.415
Hg 0.752 0.373 0.585
Hg 0.762 0.473 0.908



Arrangement x

! Cd3SnHg2 GGA-PBE relaxed; values from VASP
! SG: C2/m (12)
! Total magnetic moment, μB/cell: 0.00
&SYSTEM
  ibrav = 0, nat = 12, ntyp = 3
/
ATOMIC_SPECIES
Cd 112.41 Cd.upf
Sn 118.71 Sn.upf
Hg 200.59 Hg.upf
CELL_PARAMETERS angstrom
6.981 -2.315 0.000
6.981 2.315 0.000
-4.830 0.000 8.998
ATOMIC_POSITIONS crystal
Cd 0.042 0.042 0.384
Cd 0.293 0.293 0.616
Cd 0.377 0.377 0.382
Cd 0.623 0.623 0.618
Cd 0.707 0.707 0.384
Cd 0.958 0.958 0.616
Sn 0.121 0.121 0.131
Sn 0.879 0.879 0.869
Hg 0.208 0.208 0.862
Hg 0.456 0.456 0.136
Hg 0.544 0.544 0.864
Hg 0.792 0.792 0.138



Least stable = arrangement x



Arrangement w

! Cd6SnHg5 GGA-PBE relaxed; values from VASP
! SG: C2/m (12)
! Total magnetic moment, μB/cell: 0.00
&SYSTEM
  ibrav = 0, nat = 12, ntyp = 3
/
ATOMIC_SPECIES
Cd 112.41 Cd.upf
Sn 118.71 Sn.upf
Hg 200.59 Hg.upf
CELL_PARAMETERS angstrom
2.990 -5.230 0.000
2.990 5.230 0.000
-1.967 0.000 9.334
ATOMIC_POSITIONS crystal
Cd 0.070 0.416 0.746
Cd 0.237 0.237 0.252
Cd 0.416 0.070 0.746
Cd 0.584 0.930 0.254
Cd 0.763 0.763 0.748
Cd 0.930 0.584 0.254
Sn 0.500 0.500 0.000
Hg 0.000 0.000 0.500
Hg 0.168 0.832 0.000
Hg 0.337 0.663 0.500
Hg 0.663 0.337 0.500
Hg 0.832 0.168 0.000



Arrangement x

! Cd6SnHg5 GGA-PBE relaxed; values from VASP
! SG: C2/m (12)
! Total magnetic moment, μB/cell: 0.00
&SYSTEM
  ibrav = 0, nat = 12, ntyp = 3
/
ATOMIC_SPECIES
Cd 112.41 Cd.upf
Sn 118.71 Sn.upf
Hg 200.59 Hg.upf
CELL_PARAMETERS angstrom
2.580 -7.706 0.000
2.580 7.706 0.000
-0.280 0.000 7.452
ATOMIC_POSITIONS crystal
Cd 0.169 0.830 0.750
Cd 0.170 0.831 0.250
Cd 0.498 0.498 0.737
Cd 0.502 0.502 0.263
Cd 0.830 0.169 0.750
Cd 0.831 0.170 0.250
Sn 0.000 0.000 0.000
Hg 0.000 0.000 0.500
Hg 0.331 0.669 0.500
Hg 0.336 0.664 0.000
Hg 0.664 0.336 0.000
Hg 0.669 0.331 0.500



Least stable = arrangement x



Arrangement w

! Cd7SnHg12 GGA-PBE relaxed; values from VASP
! SG: Im-3 (204)
! Total magnetic moment, μB/cell: 0.00
&SYSTEM
  ibrav = 0, nat = 20, ntyp = 3
/
ATOMIC_SPECIES
Cd 112.41 Cd.upf
Sn 118.71 Sn.upf
Hg 200.59 Hg.upf
CELL_PARAMETERS angstrom
-5.407 5.407 5.407
5.407 -5.407 5.407
5.407 5.407 -5.407
ATOMIC_POSITIONS crystal
Cd 0.000 0.000 0.500
Cd 0.000 0.500 0.000
Cd 0.000 0.500 0.500
Cd 0.500 0.000 0.000
Cd 0.500 0.000 0.500
Cd 0.500 0.500 0.000
Cd 0.500 0.500 0.500
Sn 0.000 0.000 0.000
Hg 0.121 0.273 0.848
Hg 0.152 0.425 0.273
Hg 0.152 0.879 0.727
Hg 0.273 0.152 0.425
Hg 0.273 0.848 0.121
Hg 0.425 0.273 0.152
Hg 0.575 0.727 0.848
Hg 0.727 0.152 0.879
Hg 0.727 0.848 0.575
Hg 0.848 0.121 0.273
Hg 0.848 0.575 0.727
Hg 0.879 0.727 0.152



Arrangement x

! Cd7SnHg12 GGA-PBE relaxed; values from VASP
! SG: R-3 (148)
! Total magnetic moment, μB/cell: 0.00
&SYSTEM
  ibrav = 0, nat = 20, ntyp = 3
/
ATOMIC_SPECIES
Cd 112.41 Cd.upf
Sn 118.71 Sn.upf
Hg 200.59 Hg.upf
CELL_PARAMETERS angstrom
7.609 4.393 2.645
-7.609 4.393 2.645
0.000 -8.786 2.645
ATOMIC_POSITIONS crystal
Cd 0.000 0.000 0.000
Cd 0.084 0.305 0.385
Cd 0.305 0.385 0.084
Cd 0.385 0.084 0.305
Cd 0.615 0.916 0.695
Cd 0.695 0.615 0.916
Cd 0.916 0.695 0.615
Sn 0.500 0.500 0.500
Hg 0.039 0.936 0.350
Hg 0.064 0.650 0.961
Hg 0.182 0.701 0.489
Hg 0.299 0.511 0.818
Hg 0.350 0.039 0.936
Hg 0.489 0.182 0.701
Hg 0.511 0.818 0.299
Hg 0.650 0.961 0.064
Hg 0.701 0.489 0.182
Hg 0.818 0.299 0.511
Hg 0.936 0.350 0.039
Hg 0.961 0.064 0.650



Least stable = arrangement w



Arrangement w

! Cd4Sn2Hg5 GGA-PBE relaxed; values from VASP
! SG: C2/m (12)
! Total magnetic moment, μB/cell: 0.00
&SYSTEM
  ibrav = 0, nat = 11, ntyp = 3
/
ATOMIC_SPECIES
Cd 112.41 Cd.upf
Sn 118.71 Sn.upf
Hg 200.59 Hg.upf
CELL_PARAMETERS angstrom
11.497 -1.616 0.000
11.497 1.616 0.000
-1.103 0.000 7.436
ATOMIC_POSITIONS crystal
Cd 0.043 0.043 0.352
Cd 0.315 0.315 0.550
Cd 0.685 0.685 0.450
Cd 0.957 0.957 0.648
Sn 0.409 0.409 0.287
Sn 0.591 0.591 0.713
Hg 0.136 0.136 0.100
Hg 0.225 0.225 0.817
Hg 0.500 0.500 0.000
Hg 0.775 0.775 0.183
Hg 0.864 0.864 0.900



Arrangement x

! Cd4Sn2Hg5 GGA-PBE relaxed; values from VASP
! SG: Immm (71)
! Total magnetic moment, μB/cell: 0.00
&SYSTEM
  ibrav = 0, nat = 11, ntyp = 3
/
ATOMIC_SPECIES
Cd 112.41 Cd.upf
Sn 118.71 Sn.upf
Hg 200.59 Hg.upf
CELL_PARAMETERS angstrom
-1.589 4.921 9.580
1.589 -4.921 9.580
1.589 4.921 -9.580
ATOMIC_POSITIONS crystal
Cd 0.240 0.500 0.740
Cd 0.247 0.247 0.000
Cd 0.753 0.753 0.000
Cd 0.760 0.500 0.260
Sn 0.087 0.087 0.000
Sn 0.913 0.913 0.000
Hg 0.102 0.337 0.765
Hg 0.428 0.663 0.765
Hg 0.500 0.000 0.500
Hg 0.572 0.337 0.235
Hg 0.898 0.663 0.235



Least stable = arrangement x



Arrangement w

! Cd2SnHg3 GGA-PBE relaxed; values from VASP
! SG: C2/m (12)
! Total magnetic moment, μB/cell: 0.00
&SYSTEM
  ibrav = 0, nat = 12, ntyp = 3
/
ATOMIC_SPECIES
Cd 112.41 Cd.upf
Sn 118.71 Sn.upf
Hg 200.59 Hg.upf
CELL_PARAMETERS angstrom
4.941 -4.673 0.000
4.941 4.673 0.000
-0.104 0.000 6.715
ATOMIC_POSITIONS crystal
Cd 0.165 0.835 0.000
Cd 0.233 0.767 0.500
Cd 0.767 0.233 0.500
Cd 0.835 0.165 0.000
Sn 0.476 0.476 0.219
Sn 0.524 0.524 0.781
Hg 0.080 0.421 0.772
Hg 0.176 0.176 0.339
Hg 0.421 0.080 0.772
Hg 0.579 0.920 0.228
Hg 0.824 0.824 0.661
Hg 0.920 0.579 0.228



Arrangement x

! Cd2SnHg3 GGA-PBE relaxed; values from VASP
! SG: Cmcm (63)
! Total magnetic moment, μB/cell: 0.00
&SYSTEM
  ibrav = 0, nat = 12, ntyp = 3
/
ATOMIC_SPECIES
Cd 112.41 Cd.upf
Sn 118.71 Sn.upf
Hg 200.59 Hg.upf
CELL_PARAMETERS angstrom
6.044 -5.224 0.000
6.044 5.224 0.000
0.000 0.000 4.996
ATOMIC_POSITIONS crystal
Cd 0.035 0.210 0.250
Cd 0.210 0.035 0.750
Cd 0.790 0.965 0.250
Cd 0.965 0.790 0.750
Sn 0.233 0.767 0.250
Sn 0.767 0.233 0.750
Hg 0.106 0.416 0.750
Hg 0.416 0.106 0.250
Hg 0.419 0.581 0.750
Hg 0.581 0.419 0.250
Hg 0.584 0.894 0.750
Hg 0.894 0.584 0.250



Least stable = arrangement x



Arrangement w

! Cd8SnHg2 GGA-PBE relaxed; values from VASP
! SG: C2/m (12)
! Total magnetic moment, μB/cell: 0.00
&SYSTEM
  ibrav = 0, nat = 11, ntyp = 3
/
ATOMIC_SPECIES
Cd 112.41 Cd.upf
Sn 118.71 Sn.upf
Hg 200.59 Hg.upf
CELL_PARAMETERS angstrom
8.601 -2.254 0.000
8.601 2.254 0.000
-2.059 0.000 6.687
ATOMIC_POSITIONS crystal
Cd 0.042 0.042 0.224
Cd 0.141 0.141 0.687
Cd 0.319 0.319 0.587
Cd 0.408 0.408 0.038
Cd 0.592 0.592 0.962
Cd 0.681 0.681 0.413
Cd 0.859 0.859 0.313
Cd 0.958 0.958 0.776
Sn 0.500 0.500 0.500
Hg 0.223 0.223 0.141
Hg 0.777 0.777 0.859



Arrangement x

! Cd8SnHg2 GGA-PBE relaxed; values from VASP
! SG: C2/m (12)
! Total magnetic moment, μB/cell: 0.00
&SYSTEM
  ibrav = 0, nat = 11, ntyp = 3
/
ATOMIC_SPECIES
Cd 112.41 Cd.upf
Sn 118.71 Sn.upf
Hg 200.59 Hg.upf
CELL_PARAMETERS angstrom
4.369 -6.788 0.000
4.369 6.788 0.000
-3.559 0.000 4.602
ATOMIC_POSITIONS crystal
Cd 0.094 0.320 0.603
Cd 0.227 0.773 0.000
Cd 0.320 0.094 0.603
Cd 0.403 0.403 0.168
Cd 0.597 0.597 0.832
Cd 0.680 0.906 0.397
Cd 0.773 0.227 0.000
Cd 0.906 0.680 0.397
Sn 0.000 0.000 0.000
Hg 0.307 0.693 0.500
Hg 0.693 0.307 0.500



Least stable = arrangement x